[1]
This record from Alexandria describes a relaxed structure of Cs2AgAu2. The functional is PBE-GGA.

Geometry as extended XYZ:
```
10
Lattice="-4.159 -4.655 -3.172 6.207 -1.711 2.102 -4.453 -1.136 7.505" Properties=species:S:1:pos:R:3 pbc="T T T"
Cs -0.925 -3.046 0.048
Cs 1.874 -2.627 3.494
Cs -1.480 -4.457 6.387
Cs -4.278 -4.875 2.942
Ag -4.944 -4.573 -1.046
Ag -3.667 -1.219 5.379
Au -0.630 -5.191 2.896
Au -2.533 -5.086 -2.490
Au -1.775 -2.312 3.539
Au 0.129 -2.417 8.926
```

Properties
Relative energy among the computed polymorphs in meV per atom: 36

---

[2]
This record from Alexandria describes a relaxed structure of PuNp2Pt9. The functional is PBE-GGA.

Geometry as extended XYZ:
```
12
Lattice="-1.994 3.852 3.218 -5.270 1.170 -0.134 -3.929 -4.389 7.351" Properties=species:S:1:pos:R:3 pbc="T T T"
Pu 0.000 0.000 0.000
Np -7.907 2.437 5.779
Np -3.286 -1.805 4.656
Pt -8.769 -1.030 9.395
Pt -2.424 1.663 1.040
Pt -5.596 0.316 5.217
Pt -4.004 0.950 3.154
Pt -5.012 2.898 4.781
Pt -6.669 1.542 3.086
Pt -7.189 -0.317 7.281
Pt -4.524 -0.909 7.349
Pt -6.181 -2.265 5.654
```

Properties
Calculated total energy in eV for the cell shown: -101.844

---

[3]
This record from Alexandria describes a relaxed structure of Ta3Cu. The functional is PBE-GGA.

Geometry as extended XYZ:
```
8
Lattice="4.792 0.000 0.000 0.000 5.072 0.000 0.000 0.000 5.597" Properties=species:S:1:pos:R:3 pbc="T T T"
Ta 2.396 3.279 0.000
Ta 0.000 1.793 2.799
Ta 0.000 4.288 1.380
Ta 0.000 4.288 4.217
Ta 2.396 0.784 4.179
Ta 2.396 0.784 1.419
Cu 0.000 1.718 0.000
Cu 2.396 3.354 2.799
```

Properties
Calculated total energy in eV for the cell shown: -77.713

---

[4]
This record from Alexandria describes a relaxed structure of PuNpPdRu. The functional is PBE-GGA.

Geometry as extended XYZ:
```
4
Lattice="4.850 0.000 0.000 2.425 4.200 0.000 2.425 1.400 3.960" Properties=species:S:1:pos:R:3 pbc="T T T"
Np 4.850 2.800 1.980
Ru 7.275 4.200 2.970
Pd 2.425 1.400 0.990
Pu 0.000 0.000 0.000
```

Properties
Relative energy among the computed polymorphs in meV per atom: 59

---

[5]
This record from Alexandria describes a relaxed structure of CeNd6Ho8. The functional is PBE-GGA.

Geometry as extended XYZ:
```
15
Lattice="9.087 0.000 0.000 4.543 7.869 0.000 4.543 2.623 6.949" Properties=species:S:1:pos:R:3 pbc="T T T"
Ce 0.000 0.000 0.000
Nd 12.213 9.348 6.041
Nd 2.554 2.135 0.908
Nd 5.115 4.590 0.908
Nd 13.058 5.903 6.041
Nd 15.619 8.357 6.041
Nd 5.960 1.145 0.908
Ho 6.168 3.779 4.040
Ho 8.898 1.985 2.909
Ho 6.357 7.040 2.909
Ho 9.087 5.246 1.869
Ho 9.087 5.246 5.080
Ho 11.816 3.452 4.040
Ho 9.275 8.507 4.040
Ho 12.005 6.713 2.909
```

Properties
Calculated total energy in eV for the cell shown: -69.279

---

[6]
This record from Alexandria describes a relaxed structure of Cs2SnTeSe4. The functional is PBE-GGA.

Geometry as extended XYZ:
```
16
Lattice="-7.141 -0.590 -0.715 -3.481 -6.731 4.067 -5.117 6.466 9.508" Properties=species:S:1:pos:R:3 pbc="T T T"
Cs -4.545 3.967 5.862
Cs -7.712 1.908 2.931
Cs -10.226 1.923 9.897
Cs -9.083 -3.074 2.606
Sn -6.084 -0.280 6.609
Sn -3.570 -0.295 -0.357
Te -9.655 -0.576 6.251
Te 0.000 0.000 0.000
Se -5.312 -4.724 4.255
Se -6.524 4.190 8.996
Se -13.944 -0.278 10.895
Se -5.698 -0.900 1.574
Se -7.823 -2.583 6.064
Se -8.248 1.700 6.763
Se -11.450 -1.153 8.216
Se -3.957 0.325 4.677
```

Properties
Formation energy (no corrections) in eV/atom: -0.53

---

[7]
This record from Alexandria describes a relaxed structure of In3FeSi. The functional is PBE-GGA.

Geometry as extended XYZ:
```
5
Lattice="-3.215 1.138 -3.622 -3.796 -0.995 3.058 -0.024 4.740 1.511" Properties=species:S:1:pos:R:3 pbc="T T T"
Si -3.518 2.442 0.474
Fe 0.000 0.000 0.000
In -1.898 -0.497 1.529
In -0.012 2.370 0.756
In -1.608 0.569 -1.811
```

Properties
Formation energy (no corrections) in eV/atom: 0.59
Relative energy among the computed polymorphs in meV per atom: 0

---

[8]
This record from Alexandria describes a relaxed structure of Ho3Sn3Rh. The functional is PBE-GGA.

Geometry as extended XYZ:
```
14
Lattice="-0.311 -4.137 1.674 4.083 -3.673 -2.340 9.347 1.211 10.706" Properties=species:S:1:pos:R:3 pbc="T T T"
Ho 7.022 -2.649 6.714
Ho 6.096 -3.950 3.326
Ho 3.104 -1.647 2.485
Ho 10.015 -4.952 7.555
Ho 9.621 -1.551 9.910
Ho 3.497 -5.048 0.130
Sn 7.830 -5.666 5.386
Sn 5.289 -0.933 4.654
Sn 11.940 -2.428 8.174
Sn 1.178 -4.172 1.866
Sn 5.155 -6.727 2.267
Sn 7.964 0.128 7.773
Rh 3.762 -3.049 5.121
Rh 9.356 -3.551 4.919
```

Properties
Calculated total energy in eV for the cell shown: -77.015

---

[9]
This record from Alexandria describes a relaxed structure of CdAg3Rh. The functional is PBE-GGA.

Geometry as extended XYZ:
```
5
Lattice="-0.173 4.482 2.308 -4.819 0.532 -1.394 -1.481 -2.253 4.264" Properties=species:S:1:pos:R:3 pbc="T T T"
Rh 0.000 0.000 0.000
Ag -2.410 0.266 -0.697
Ag -0.741 -1.126 2.132
Ag -0.087 2.241 1.154
Cd -3.237 1.380 2.589
```

Properties
Relative energy among the computed polymorphs in meV per atom: 0

---

[10]
This record from Alexandria describes a relaxed structure of CrBiSe3. The functional is PBE-GGA.

Geometry as extended XYZ:
```
10
Lattice="3.889 0.000 0.000 0.000 6.909 -0.022 0.000 0.079 10.195" Properties=species:S:1:pos:R:3 pbc="T T T"
Cr 0.972 6.405 1.605
Cr 2.917 0.582 8.568
Bi 0.972 4.074 8.271
Bi 2.917 2.914 1.902
Se 0.972 1.474 10.069
Se 2.917 5.513 0.104
Se 0.972 4.352 3.266
Se 2.917 2.635 6.906
Se 0.972 6.581 7.095
Se 2.917 0.407 3.078
```

Properties
Formation energy (no corrections) in eV/atom: -0.40

---

[11]
This record from Alexandria describes a relaxed structure of ErAlCu5. The functional is PBE-GGA.

Geometry as extended XYZ:
```
28
Lattice="4.987 0.000 0.000 0.000 8.053 0.000 0.000 0.000 10.185" Properties=species:S:1:pos:R:3 pbc="T T T"
Er 1.247 1.972 9.588
Er 3.740 2.055 4.495
Er 1.247 5.998 5.690
Er 3.740 6.081 0.597
Al 1.247 6.882 8.704
Al 3.740 5.197 3.612
Al 1.247 2.856 6.573
Al 3.740 1.171 1.481
Cu 1.247 4.787 0.167
Cu 3.740 7.293 5.259
Cu 1.247 0.760 4.926
Cu 3.740 3.266 10.019
Cu 3.740 2.552 7.604
Cu 1.247 1.474 2.512
Cu 3.740 6.579 7.674
Cu 1.247 5.500 2.581
Cu 1.247 7.564 0.901
Cu 3.740 4.516 5.994
Cu 1.247 3.537 4.191
Cu 3.740 0.489 9.284
Cu 4.955 3.494 1.979
Cu 0.033 0.532 7.071
Cu 2.526 7.521 3.114
Cu 2.461 4.558 8.206
Cu 0.033 4.558 8.206
Cu 4.955 7.521 3.114
Cu 2.461 0.532 7.071
Cu 2.526 3.494 1.979
```

Properties
Calculated total energy in eV for the cell shown: -122.756

---

[12]
This record from Alexandria describes a relaxed structure of PrSm2HoEr4. The functional is PBE-GGA.

Geometry as extended XYZ:
```
16
Lattice="-6.543 5.640 -3.945 -6.701 -6.655 0.989 8.588 2.912 7.532" Properties=species:S:1:pos:R:3 pbc="T T T"
Pr -3.351 -3.327 0.495
Pr -5.599 3.768 0.316
Sm -3.271 2.820 -1.972
Sm -5.678 -2.379 2.783
Sm -2.407 -5.199 4.755
Sm -6.622 -0.508 -1.478
Ho -2.328 0.948 2.288
Ho 1.887 -3.743 8.521
Er -6.666 -3.617 -0.227
Er -2.285 3.984 1.067
Er -2.371 -2.087 3.509
Er 2.010 5.514 4.803
Er -1.367 2.138 5.290
Er -5.617 0.703 1.577
Er 0.961 1.194 3.000
Er -3.289 -0.242 -0.713
```

Properties
Calculated total energy in eV for the cell shown: -67.280

---

[13]
This record from Alexandria describes a relaxed structure of YZrZnTc. The functional is PBE-GGA.

Geometry as extended XYZ:
```
4
Lattice="4.819 0.000 0.000 2.409 4.173 0.000 2.409 1.391 3.934" Properties=species:S:1:pos:R:3 pbc="T T T"
Y 7.228 4.173 2.951
Zn 0.000 0.000 0.000
Tc 4.819 2.782 1.967
Zr 2.409 1.391 0.984
```

Properties
Calculated total energy in eV for the cell shown: -27.388

---

[14]
This record from Alexandria describes a relaxed structure of TaNi2Mo. The functional is PBE-GGA.

Geometry as extended XYZ:
```
4
Lattice="3.800 0.000 0.000 0.000 3.812 0.000 0.000 0.000 3.812" Properties=species:S:1:pos:R:3 pbc="T T T"
Mo 1.900 0.000 1.906
Ni 0.000 0.000 0.000
Ni 0.000 1.906 1.906
Ta 1.900 1.906 0.000
```

Properties
Relative energy among the computed polymorphs in meV per atom: 0

---

[15]
This record from Alexandria describes a relaxed structure of Dy5Hg2IrRh2. The functional is PBE-GGA.

Geometry as extended XYZ:
```
20
Lattice="3.575 0.000 0.000 0.000 11.492 0.000 0.000 0.000 11.492" Properties=species:S:1:pos:R:3 pbc="T T T"
Dy 1.787 2.197 0.897
Dy 1.787 9.295 10.595
Dy 1.787 0.897 9.295
Dy 1.787 7.943 4.849
Dy 1.787 10.595 2.197
Dy 1.787 3.549 6.644
Dy 1.787 6.644 7.943
Dy 1.787 4.849 3.549
Dy 1.787 5.746 0.000
Dy 1.787 0.000 5.746
Hg 0.000 7.739 1.993
Hg 0.000 3.753 9.499
Hg 0.000 1.993 3.753
Hg 0.000 9.499 7.739
Ir 0.000 0.000 0.000
Ir 0.000 5.746 5.746
Rh 0.000 1.528 7.274
Rh 0.000 9.964 4.218
Rh 0.000 7.274 9.964
Rh 0.000 4.218 1.528
```

Properties
Calculated total energy in eV for the cell shown: -106.846

---

[16]
This record from Alexandria describes a relaxed structure of KScGa2Hg. The functional is PBE-GGA.

Geometry as extended XYZ:
```
5
Lattice="5.387 0.000 0.000 0.000 5.688 0.000 0.000 0.000 5.387" Properties=species:S:1:pos:R:3 pbc="T T T"
Sc 0.000 0.000 0.000
K 2.693 2.844 2.693
Hg 0.000 2.844 0.000
Ga 0.000 0.000 2.693
Ga 2.693 0.000 0.000
```

Properties
Calculated total energy in eV for the cell shown: -13.039

---

[17]
This record from Alexandria describes a relaxed structure of Y3Mg4Cd2. The functional is PBE-GGA.

Geometry as extended XYZ:
```
9
Lattice="-3.670 -3.455 0.790 5.553 -2.378 -1.079 -1.713 3.760 8.490" Properties=species:S:1:pos:R:3 pbc="T T T"
Y -1.741 -0.587 5.823
Y 0.000 0.000 0.000
Y 1.911 -1.486 2.378
Mg -0.315 -3.308 0.545
Mg 0.485 1.235 7.656
Mg 0.392 -3.048 4.967
Mg -0.222 0.975 3.233
Cd -1.490 -1.592 2.594
Cd 1.659 -0.481 5.606
```

Properties
Calculated total energy in eV for the cell shown: -29.286

---

[18]
This record from Alexandria describes a relaxed structure of Pm3ScTl4. The functional is PBE-GGA.

Geometry as extended XYZ:
```
8
Lattice="3.756 0.000 0.000 0.000 3.756 0.000 0.000 0.000 15.708" Properties=species:S:1:pos:R:3 pbc="T T T"
Sc 1.878 1.878 0.000
Tl 0.000 0.000 14.019
Tl 0.000 0.000 1.689
Tl 0.000 0.000 5.792
Tl 0.000 0.000 9.916
Pm 1.878 1.878 3.746
Pm 1.878 1.878 7.854
Pm 1.878 1.878 11.962
```

Properties
Relative energy among the computed polymorphs in meV per atom: 0

---

[19]
This record from Alexandria describes a relaxed structure of HfZrSe2N. The functional is PBE-GGA.

Geometry as extended XYZ:
```
5
Lattice="-2.985 -0.045 -4.335 2.720 -4.118 -1.830 -2.530 -2.456 1.767" Properties=species:S:1:pos:R:3 pbc="T T T"
Hf -1.398 -3.310 -2.199
Se 1.360 -2.059 -0.915
Se -1.492 -0.022 -2.168
Zr 0.000 0.000 0.000
N -1.265 -1.228 0.884
```

Properties
Formation energy (no corrections) in eV/atom: -0.14
Relative energy among the computed polymorphs in meV per atom: 227

---

[20]
This record from Alexandria describes a relaxed structure of KSc3W. The functional is PBE-GGA.

Geometry as extended XYZ:
```
5
Lattice="5.293 0.000 0.000 0.000 5.293 0.000 0.000 0.000 5.293" Properties=species:S:1:pos:R:3 pbc="T T T"
Sc 0.000 2.647 0.000
Sc 0.000 0.000 2.647
Sc 2.647 0.000 0.000
K 2.647 2.647 2.647
W 0.000 0.000 0.000
```

Properties
Relative energy among the computed polymorphs in meV per atom: 0

---

[21]
This record from Alexandria describes a relaxed structure of Er2AlS4. The functional is PBE-GGA.

Geometry as extended XYZ:
```
7
Lattice="-2.567 -2.772 0.304 4.928 -4.401 1.485 -1.894 4.866 4.751" Properties=species:S:1:pos:R:3 pbc="T T T"
Er 0.918 -3.064 3.444
Er -0.452 0.758 3.096
Al 0.000 0.000 0.000
S -2.823 0.490 4.257
S 3.290 -2.797 2.283
S -0.755 -1.699 1.759
S 1.222 -0.608 4.781
```

Properties
Formation energy (no corrections) in eV/atom: -1.58

---

[22]
This record from Alexandria describes a relaxed structure of AcAlCu. The functional is PBE-GGA.

Geometry as extended XYZ:
```
3
Lattice="-0.207 3.377 0.679 -2.719 0.258 -2.110 -2.102 -2.932 5.174" Properties=species:S:1:pos:R:3 pbc="T T T"
Ac -0.023 -0.007 0.028
Al -2.100 -0.656 2.627
Cu -2.905 1.367 1.089
```

Properties
Relative energy among the computed polymorphs in meV per atom: 256

---

[23]
This record from Alexandria describes a relaxed structure of YIrW2. The functional is PBE-GGA.

Geometry as extended XYZ:
```
4
Lattice="0.000 3.258 3.258 3.258 0.000 3.258 3.258 3.258 0.000" Properties=species:S:1:pos:R:3 pbc="T T T"
Y 0.000 0.000 0.000
Ir 3.258 3.258 3.258
W 1.629 1.629 1.629
W 4.886 4.886 4.886
```

Properties
Relative energy among the computed polymorphs in meV per atom: 424

---

Density (g cm⁻³)
7.27; 18.30; 14.80; 14.17; 7.77; 4.05; 5.78; 9.09; 6.97; 6.04; 8.31; 7.98; 7.21; 11.86; 11.34; 4.27; 4.27; 9.72; 6.71; 4.01; 5.43; 7.61; 15.58